Density functional theory data (PBE-GGA) for an optimized crystal structure of Zr3Cu8.

Output
E (eV/atom): -5.197
Space-group type: Pnma (62)
M_tot (μB/f.u.): 0.00
ΔH_f (0 K) (eV per atom): -0.16
Theoretical density (g cm⁻³): 8.15

abc: 7.856 8.142 9.963
angles: 90.00 90.00 90.00
Element x y z (fractional)
Cu: 0.617 0.250 0.597
Cu: 0.869 0.250 0.735
Cu: 0.379 0.577 0.160
Cu: 0.199 0.001 0.406
Cu: 0.621 0.423 0.840
Cu: 0.801 0.999 0.594
Zr: 0.961 0.250 0.453
Cu: 0.215 0.750 0.774
Zr: 0.461 0.250 0.047
Zr: 0.062 0.446 0.140
Cu: 0.785 0.250 0.226
Cu: 0.383 0.750 0.403
Zr: 0.562 0.446 0.360
Cu: 0.131 0.750 0.265
Cu: 0.823 0.250 0.983
Zr: 0.938 0.946 0.860
Cu: 0.369 0.250 0.765
Cu: 0.323 0.250 0.517
Cu: 0.699 0.499 0.094
Cu: 0.301 0.999 0.906
Cu: 0.379 0.923 0.160
Cu: 0.879 0.577 0.340
Cu: 0.199 0.499 0.406
Cu: 0.883 0.750 0.097
Cu: 0.177 0.750 0.017
Cu: 0.301 0.501 0.906
Cu: 0.117 0.250 0.903
Zr: 0.938 0.554 0.860
Cu: 0.121 0.423 0.660
Cu: 0.121 0.077 0.660
Cu: 0.677 0.750 0.483
Cu: 0.801 0.501 0.594
Cu: 0.699 0.001 0.094
Cu: 0.631 0.750 0.235
Zr: 0.438 0.946 0.640
Cu: 0.285 0.250 0.274
Zr: 0.539 0.750 0.953
Zr: 0.039 0.750 0.547
Zr: 0.062 0.054 0.140
Zr: 0.438 0.554 0.640
Cu: 0.621 0.077 0.840
Zr: 0.562 0.054 0.360
Cu: 0.715 0.750 0.726
Cu: 0.879 0.923 0.340

Density functional theory data (PBE-GGA) for an optimized crystal structure of Zr5Cu2.

Output
E (eV/atom): -7.167
Space-group type: R-3m (166)
M_tot (μB/f.u.): 0.47
ΔH_f (0 K) (eV per atom): 0.00
Theoretical density (g cm⁻³): 7.03

abc: 7.378 7.378 7.378
angles: 38.17 38.17 38.17
Element x y z (fractional)
Zr: 0.921 0.921 0.921
Zr: 0.768 0.768 0.768
Cu: 0.484 0.484 0.484
Cu: 0.052 0.052 0.052
Zr: 0.189 0.189 0.189
Zr: 0.346 0.346 0.346
Zr: 0.615 0.615 0.615

Density functional theory data (PBE-GGA) for an optimized crystal structure of ZrCu2.

Output
E (eV/atom): -5.436
Space-group type: P6_3/mmc (194)
M_tot (μB/f.u.): 0.02
ΔH_f (0 K) (eV per atom): -0.11
Theoretical density (g cm⁻³): 7.96

abc: 5.056 5.056 8.226
angles: 90.00 90.00 120.00
Element x y z (fractional)
Zr: 0.667 0.333 0.543
Cu: 0.335 0.168 0.250
Cu: 0.168 0.335 0.750
Cu: 0.832 0.168 0.250
Cu: 0.665 0.832 0.750
Cu: 0.000 0.000 0.000
Zr: 0.667 0.333 0.957
Cu: 0.000 0.000 0.500
Zr: 0.333 0.667 0.457
Cu: 0.168 0.832 0.750
Zr: 0.333 0.667 0.043
Cu: 0.832 0.665 0.250

Density functional theory data (PBE-GGA) for an optimized crystal structure of Zr2Cu.

Output
E (eV/atom): -6.916
Space-group type: P2_1/m (11)
M_tot (μB/f.u.): 0.01
ΔH_f (0 K) (eV per atom): 0.02
Theoretical density (g cm⁻³): 6.91

abc: 14.792 7.807 4.649
angles: 90.00 90.00 61.67
Element x y z (fractional)
Cu: 0.713 0.211 0.000
Zr: 0.805 0.327 0.500
Zr: 0.033 0.064 0.500
Zr: 0.668 0.596 0.000
Zr: 0.020 0.740 0.000
Zr: 0.448 0.589 0.000
Cu: 0.300 0.251 0.500
Zr: 0.390 0.034 0.000
Zr: 0.186 0.873 0.000
Zr: 0.287 0.918 0.500
Cu: 0.303 0.447 0.000
Zr: 0.746 0.773 0.500
Zr: 0.908 0.442 0.000
Zr: 0.175 0.621 0.500
Cu: 0.892 0.914 0.500
Zr: 0.593 0.037 0.000
Zr: 0.161 0.298 0.000
Cu: 0.894 0.110 0.000
Cu: 0.380 0.507 0.500
Cu: 0.481 0.150 0.500
Zr: 0.527 0.765 0.500
Zr: 0.008 0.489 0.500
Zr: 0.601 0.325 0.500
Cu: 0.814 0.854 0.000

Density functional theory data (PBE-GGA) for an optimized crystal structure of Zr2Cu.

Output
E (eV/atom): -6.999
Space-group type: Fd-3m (227)
M_tot (μB/f.u.): 0.07
ΔH_f (0 K) (eV per atom): -0.06
Theoretical density (g cm⁻³): 7.07

abc: 8.679 8.679 8.679
angles: 120.00 90.00 120.00
Element x y z (fractional)
Zr: 0.565 0.500 0.435
Cu: 0.249 0.833 0.416
Zr: 0.185 0.370 0.185
Zr: 0.565 0.500 0.065
Zr: 0.185 0.000 0.815
Zr: 0.935 0.500 0.435
Zr: 0.815 0.000 0.815
Cu: 0.166 0.333 0.499
Cu: 0.584 0.833 0.416
Zr: 0.815 0.000 0.185
Zr: 0.375 0.250 0.625
Cu: 0.166 0.667 0.834
Zr: 0.875 0.250 0.625
Cu: 0.166 0.333 0.834
Cu: 0.584 0.167 0.416
Zr: 0.375 0.750 0.125
Zr: 0.375 0.750 0.625
Cu: 0.584 0.167 0.751
Zr: 0.935 0.500 0.065
Zr: 0.185 0.000 0.185
Zr: 0.935 0.870 0.435
Zr: 0.565 0.130 0.065
Cu: 0.501 0.667 0.834
Zr: 0.815 0.630 0.815

Density functional theory data (PBE-GGA) for an optimized crystal structure of Zr2Cu.

Output
E (eV/atom): -6.905
Space-group type: Pmmn (59)
M_tot (μB/f.u.): 0.00
ΔH_f (0 K) (eV per atom): 0.03
Theoretical density (g cm⁻³): 7.06

abc: 5.667 8.662 4.718
angles: 90.00 90.00 90.00
Element x y z (fractional)
Zr: 0.790 0.833 0.500
Zr: 0.272 0.644 0.500
Cu: 0.854 0.171 0.500
Zr: 0.272 0.023 0.500
Zr: 0.043 0.333 0.000
Cu: 0.854 0.495 0.500
Zr: 0.418 0.333 0.500
Zr: 0.562 0.523 0.000
Cu: 0.979 0.671 0.000
Zr: 0.562 0.144 0.000
Cu: 0.979 0.995 0.000
Zr: 0.416 0.833 0.000

Density functional theory data (PBE-GGA) for an optimized crystal structure of Zr4Cu3.

Output
E (eV/atom): -6.418
Relative energy among the computed polymorphs (meV per atom): 48.6
Space-group type: P6_3/m (176)
M_tot (μB/f.u.): 0.01
ΔH_f (0 K) (eV per atom): 0.06
Theoretical density (g cm⁻³): 7.20

abc: 8.066 8.067 4.548
angles: 90.00 90.00 60.00
Element x y z (fractional)
Cu: 0.680 0.460 0.000
Zr: 0.816 0.715 0.000
Zr: 0.380 0.055 0.500
Cu: 0.318 0.573 0.000
Cu: 0.431 0.823 0.000
Cu: 0.522 0.415 0.500
Zr: 0.572 0.183 0.000
Cu: 0.272 0.778 0.500
Zr: 0.040 0.959 0.000
Cu: 0.635 0.665 0.500
Zr: 0.810 0.952 0.500
Zr: 0.136 0.523 0.500
Zr: 0.143 0.286 0.000
Zr: 0.912 0.279 0.500

Density functional theory data (PBE-GGA) for an optimized crystal structure of Zr2Cu.

Output
E (eV/atom): -6.815
Space-group type: Amm2 (38)
M_tot (μB/f.u.): 0.00
ΔH_f (0 K) (eV per atom): 0.12
Theoretical density (g cm⁻³): 7.04

abc: 5.180 5.167 5.005
angles: 90.00 90.00 60.03
Element x y z (fractional)
Zr: 0.667 0.023 0.500
Zr: 0.308 0.668 0.500
Zr: 0.025 0.310 0.500
Zr: 0.667 0.666 0.000
Cu: 0.333 0.333 0.000
Cu: 0.000 0.000 0.000

Density functional theory data (PBE-GGA) for an optimized crystal structure of ZrCu2.

Output
E (eV/atom): -5.443
Space-group type: Cmcm (63)
M_tot (μB/f.u.): 0.00
ΔH_f (0 K) (eV per atom): -0.12
Theoretical density (g cm⁻³): 7.86

abc: 4.857 4.857 4.630
angles: 90.00 90.00 57.62
Element x y z (fractional)
Zr: 0.734 0.266 0.250
Cu: 0.603 0.037 0.750
Cu: 0.963 0.397 0.750
Zr: 0.266 0.734 0.750
Cu: 0.037 0.603 0.250
Cu: 0.397 0.963 0.250

Density functional theory data (PBE-GGA) for an optimized crystal structure of Dy.

Output
E (eV/atom): -4.339
Relative energy among the computed polymorphs (meV per atom): 262.7
Space-group type: Pm-3n (223)
M_tot (μB/f.u.): 0.87
ΔH_f (0 K) (eV per atom): 0.26
Theoretical density (g cm⁻³): 8.26

abc: 6.394 6.394 6.394
angles: 90.00 90.00 90.00
Each line ends with the local moment (μB).
Element x y z (fractional)
Dy: 0.750 0.000 0.500  0.55
Dy: 0.000 0.500 0.250  0.61
Dy: 0.500 0.750 0.000  0.59
Dy: 0.000 0.000 0.000  0.76
Dy: 0.500 0.250 0.000  0.59
Dy: 0.500 0.500 0.500  0.73
Dy: 0.000 0.500 0.750  0.61
Dy: 0.250 0.000 0.500  0.55

Density functional theory data (PBE-GGA) for an optimized crystal structure of Dy.

Output
E (eV/atom): -4.582
Relative energy among the computed polymorphs (meV per atom): 19.0
Space-group type: R-3m (166)
M_tot (μB/f.u.): 0.00
ΔH_f (0 K) (eV per atom): 0.02
Theoretical density (g cm⁻³): 8.77

abc: 3.533 3.533 6.047
angles: 73.02 106.98 120.00
Element x y z (fractional)
Dy: 0.250 0.750 0.750
Dy: 0.750 0.250 0.250

Density functional theory data (PBE-GGA) for an optimized crystal structure of Dy.

Output
E (eV/atom): -4.589
Relative energy among the computed polymorphs (meV per atom): 12.7
Space-group type: Cmcm (63)
M_tot (μB/f.u.): 0.02
ΔH_f (0 K) (eV per atom): 0.01
Theoretical density (g cm⁻³): 8.66

abc: 3.549 3.603 5.600
angles: 90.00 90.00 60.49
Element x y z (fractional)
Dy: 0.840 0.320 0.250
Dy: 0.160 0.680 0.750